Entry 1:
ErTmInAu (PBE-GGA, relaxed); excess energy over the best structure of this formula in the dataset = 0.00 kcal/mol of atoms; space-group type = No. 99; crystal system = tetragonal; DFT formation energy = -0.67 eV per atom
1.0
3.571 0.000 0.000
0.000 3.571 0.000
0.000 0.000 7.606
Er Tm In Au
1 1 1 1
Direct
0.000 0.000 0.000 Er
0.000 0.000 0.461 Tm
0.500 0.500 0.730 In
0.500 0.500 0.235 Au

=====

Entry 2:
ErTmInAu (PBE-GGA, relaxed); excess energy over the best structure of this formula in the dataset = 1.15 kcal/mol of atoms; space-group type = No. 216; crystal system = cubic; DFT formation energy = -0.62 eV per atom
1.0
0.000 3.652 3.652
3.652 0.000 3.652
3.652 3.652 0.000
Er Tm In Au
1 1 1 1
Direct
0.000 0.000 0.000 Er
0.500 0.500 0.500 Tm
0.750 0.750 0.750 In
0.250 0.250 0.250 Au

=====

Entry 3:
YErInAu (PBE-GGA, relaxed); excess energy over the best structure of this formula in the dataset = 1.16 kcal/mol of atoms; space-group type = No. 216; crystal system = cubic; DFT formation energy = -0.63 eV per atom
1.0
0.000 3.680 3.680
3.680 0.000 3.680
3.680 3.680 0.000
Y Er In Au
1 1 1 1
Direct
0.000 0.000 0.000 Y
0.500 0.500 0.500 Er
0.250 0.250 0.250 In
0.750 0.750 0.750 Au

=====

Entry 4:
YErInAu (PBE-GGA, relaxed); excess energy over the best structure of this formula in the dataset = 0.00 kcal/mol of atoms; space-group type = No. 99; crystal system = tetragonal; DFT formation energy = -0.68 eV per atom
1.0
3.600 0.000 0.000
0.000 3.600 0.000
0.000 0.000 7.651
Y Er In Au
1 1 1 1
Direct
0.000 0.000 0.000 Y
0.000 0.000 0.463 Er
0.500 0.500 0.730 In
0.500 0.500 0.244 Au

=====

Entry 5:
Er8IrAu2 (PBE-GGA, relaxed); excess energy over the best structure of this formula in the dataset = 0.00 kcal/mol of atoms; space-group type = No. 12; crystal system = monoclinic; DFT formation energy = -0.54 eV per atom
1.0
8.686 -2.534 0.000
8.686 2.534 0.000
-1.874 0.000 6.458
Er Ir Au
8 1 2
Direct
0.029 0.029 0.291 Er
0.203 0.203 0.815 Er
0.339 0.339 0.531 Er
0.411 0.411 0.065 Er
0.589 0.589 0.935 Er
0.661 0.661 0.469 Er
0.797 0.797 0.185 Er
0.971 0.971 0.709 Er
0.500 0.500 0.500 Ir
0.186 0.186 0.223 Au
0.814 0.814 0.777 Au

=====

Entry 6:
Er5Ir2Au2 (PBE-GGA, relaxed); space-group type = No. 64; crystal system = orthorhombic; DFT formation energy = -0.86 eV per atom
1.0
7.518 -3.718 0.000
7.518 3.718 0.000
0.000 0.000 7.554
Er Ir Au
10 4 4
Direct
0.000 0.000 0.000 Er
0.041 0.703 0.668 Er
0.203 0.541 0.168 Er
0.297 0.959 0.668 Er
0.459 0.797 0.168 Er
0.500 0.500 0.500 Er
0.541 0.203 0.832 Er
0.703 0.041 0.332 Er
0.797 0.459 0.832 Er
0.959 0.297 0.332 Er
0.133 0.867 0.367 Ir
0.367 0.633 0.867 Ir
0.633 0.367 0.133 Ir
0.867 0.133 0.633 Ir
0.207 0.207 0.000 Au
0.293 0.293 0.500 Au
0.707 0.707 0.500 Au
0.793 0.793 0.000 Au

=====

Entry 7:
Er2IrAu2 (PBE-GGA, relaxed); space-group type = No. 72; crystal system = orthorhombic; DFT formation energy = -0.70 eV per atom
1.0
-3.113 6.319 2.976
3.113 -6.319 2.976
3.113 6.319 -2.976
Er Ir Au
4 2 4
Direct
0.146 0.247 0.392 Er
0.354 0.747 0.101 Er
0.646 0.253 0.899 Er
0.854 0.753 0.608 Er
0.250 0.750 0.500 Ir
0.750 0.250 0.500 Ir
0.124 0.780 0.905 Au
0.376 0.280 0.656 Au
0.624 0.720 0.344 Au
0.876 0.220 0.095 Au

=====

Entry 8:
ErIr4Au (PBE-GGA, relaxed); space-group type = No. 216; crystal system = cubic; DFT formation energy = -0.26 eV per atom
1.0
0.000 3.731 3.731
3.731 0.000 3.731
3.731 3.731 0.000
Er Ir Au
1 4 1
Direct
0.000 0.000 0.000 Er
0.125 0.625 0.625 Ir
0.625 0.125 0.625 Ir
0.625 0.625 0.125 Ir
0.625 0.625 0.625 Ir
0.250 0.250 0.250 Au

=====

Number 1: raw total energy -17.7 eV per cell. Number 2: raw total energy -17.5 eV per cell. Number 3: raw total energy -19.6 eV per cell. Number 4: raw total energy -19.8 eV per cell. Number 5: raw total energy -57.8 eV per cell. Number 6: raw total energy -109.7 eV per cell. Number 7: raw total energy -56.0 eV per cell. Number 8: raw total energy -44.8 eV per cell.